[1]
Density functional theory data (PBE-GGA) for crystalline BaSr2I6 at its relaxed geometry.

a b c (Å): 14.5857 14.5857 7.4110
angles (deg): 90.00 90.00 120.00
Space group P321 (No. 150)
Inequivalent atoms, fractional coordinates:
1 Ba 0.0000 0.0000 0.0000 [1 per cell]
2 Ba 0.3333 0.6667 0.4991 [2 per cell]
3 Sr 0.0000 0.3172 0.5000 [3 per cell]
4 Sr 0.0000 0.6522 0.0000 [3 per cell]
5 I 0.1008 0.8702 0.7490 [6 per cell]
6 I 0.1026 0.5361 0.7507 [6 per cell]
7 I 0.2155 0.4365 0.2451 [6 per cell]

Values from the calculation:
- ΔE_f (raw) (eV/atom) = -1.70
- ΔE to the lowest computed polymorph (meV/atom) = 26.0
- theoretical density (g cm⁻³) = 3.9
- N(E_F) (states/eV per atom) = 0.00

=====

[2]
Density functional theory data (PBE-GGA) for crystalline BaSr3I8 at its relaxed geometry.

a b c (Å): 15.955 9.885 9.497
angles (deg): 90.00 122.19 90.00
Space group C2/m (No. 12)
Inequivalent atoms, fractional coordinates:
1 Ba 0.000 0.000 0.000 [2 per cell]
2 Sr 0.000 0.500 0.000 [2 per cell]
3 Sr 0.250 0.250 0.500 [4 per cell]
4 I 0.005 0.260 0.249 [8 per cell]
5 I 0.245 0.500 0.729 [4 per cell]
6 I 0.247 0.500 0.259 [4 per cell]

Values from the calculation:
- ΔE_f (raw) (eV/atom) = -1.72
- theoretical density (g cm⁻³) = 3.7
- N(E_F) (states/eV per atom) = 0.00

=====

[3]
Density functional theory data (PBE-GGA) for crystalline BaSrI2 at its relaxed geometry.

a b c (Å): 7.811 7.811 15.616
angles (deg): 90.00 90.00 90.00
Space group I-42d (No. 122)
Inequivalent atoms, fractional coordinates:
1 Ba 0.000 0.000 0.000 [4 per cell]
2 Sr 0.000 0.000 0.500 [4 per cell]
3 I 0.227 0.250 0.625 [8 per cell]

Values from the calculation:
- ΔE_f (raw) (eV/atom) = -1.00
- ΔE to the lowest computed polymorph (meV/atom) = 183.9
- theoretical density (g cm⁻³) = 3.3
- N(E_F) (states/eV per atom) = 0.42

=====

[4]
Density functional theory data (PBE-GGA) for crystalline Ba2SrI6 at its relaxed geometry.

a b c (Å): 8.484 8.307 25.221
angles (deg): 90.00 93.58 90.00
Space group P2_1/c (No. 14)
Inequivalent atoms, fractional coordinates:
1 Ba 0.214 0.042 0.418 [4 per cell]
2 Ba 0.276 0.630 0.236 [4 per cell]
3 Sr 0.341 0.047 0.082 [4 per cell]
4 I 0.016 0.644 0.806 [4 per cell]
5 I 0.062 0.227 0.529 [4 per cell]
6 I 0.068 0.670 0.633 [4 per cell]
7 I 0.419 0.164 0.831 [4 per cell]
8 I 0.449 0.747 0.005 [4 per cell]
9 I 0.489 0.160 0.660 [4 per cell]

Values from the calculation:
- ΔE_f (raw) (eV/atom) = -1.74
- ΔE to the lowest computed polymorph (meV/atom) = 0.5
- theoretical density (g cm⁻³) = 4.2
- N(E_F) (states/eV per atom) = 0.00

=====

[5]
Density functional theory data (PBE-GGA) for crystalline Ba2SrI6 at its relaxed geometry.

a b c (Å): 7.849 28.475 8.613
angles (deg): 90.00 90.00 90.00
Space group Pbcn (No. 60)
Inequivalent atoms, fractional coordinates:
1 Ba 0.000 0.053 0.250 [4 per cell]
2 Ba 0.000 0.281 0.750 [4 per cell]
3 Sr 0.000 0.385 0.250 [4 per cell]
4 I 0.238 0.367 0.561 [8 per cell]
5 I 0.240 0.303 0.079 [8 per cell]
6 I 0.248 0.036 0.583 [8 per cell]

Values from the calculation:
- ΔE_f (raw) (eV/atom) = -1.73
- ΔE to the lowest computed polymorph (meV/atom) = 15.1
- theoretical density (g cm⁻³) = 3.9
- N(E_F) (states/eV per atom) = 0.00

=====

[6]
Density functional theory data (PBE-GGA) for crystalline BaSrI2 at its relaxed geometry.

a b c (Å): 4.5020 4.5020 28.3275
angles (deg): 90.00 90.00 120.00
Space group R3m (No. 160, hexagonal axes)
Inequivalent atoms, fractional coordinates:
1 Ba 0.0000 0.0000 0.0000 [3 per cell]
2 Sr 0.0000 0.0000 0.1734 [3 per cell]
3 I 0.0000 0.0000 0.5793 [3 per cell]
4 I 0.0000 0.0000 0.7623 [3 per cell]

Values from the calculation:
- ΔE_f (raw) (eV/atom) = -1.17
- ΔE to the lowest computed polymorph (meV/atom) = 9.9
- theoretical density (g cm⁻³) = 4.8
- N(E_F) (states/eV per atom) = 0.55

=====

[7]
Density functional theory data (PBE-GGA) for crystalline Ba2SrI6 at its relaxed geometry.

a b c (Å): 7.994 7.994 15.607
angles (deg): 90.00 90.00 90.00
Space group P4_2/mnm (No. 136)
Inequivalent atoms, fractional coordinates:
1 Ba 0.000 0.000 0.166 [4 per cell]
2 Sr 0.000 0.000 0.500 [2 per cell]
3 I 0.192 0.192 0.340 [8 per cell]
4 I 0.205 0.205 0.000 [4 per cell]

Values from the calculation:
- ΔE_f (raw) (eV/atom) = -1.73
- ΔE to the lowest computed polymorph (meV/atom) = 17.0
- theoretical density (g cm⁻³) = 3.7
- N(E_F) (states/eV per atom) = 0.00

=====

[8]
Density functional theory data (PBE-GGA) for crystalline BaSr2I6 at its relaxed geometry.

a b c (Å): 18.564 8.416 12.067
angles (deg): 90.00 114.01 90.00
Space group C2/c (No. 15)
Inequivalent atoms, fractional coordinates:
1 Ba 0.000 0.047 0.250 [4 per cell]
2 Sr 0.144 0.447 0.630 [8 per cell]
3 I 0.028 0.243 0.989 [8 per cell]
4 I 0.140 0.353 0.364 [8 per cell]
5 I 0.187 0.131 0.804 [8 per cell]

Values from the calculation:
- ΔE_f (raw) (eV/atom) = -1.71
- ΔE to the lowest computed polymorph (meV/atom) = 7.2
- theoretical density (g cm⁻³) = 4.1
- N(E_F) (states/eV per atom) = 0.00

=====

[9]
Density functional theory data (PBE-GGA) for crystalline BaSr2I6 at its relaxed geometry.

a b c (Å): 26.479 7.735 9.068
angles (deg): 90.00 100.00 90.00
Space group C2/c (No. 15)
Inequivalent atoms, fractional coordinates:
1 Ba 0.000 0.205 0.250 [4 per cell]
2 Sr 0.172 0.268 0.627 [8 per cell]
3 I 0.079 0.007 0.037 [8 per cell]
4 I 0.106 0.491 0.337 [8 per cell]
5 I 0.226 0.006 0.396 [8 per cell]

Values from the calculation:
- ΔE_f (raw) (eV/atom) = -1.68
- ΔE to the lowest computed polymorph (meV/atom) = 39.0
- theoretical density (g cm⁻³) = 3.9
- N(E_F) (states/eV per atom) = 0.00

=====

[10]
Density functional theory data (PBE-GGA) for crystalline Ba4Sr2I at its relaxed geometry.

a b c (Å): 4.4399 4.4399 70.1566
angles (deg): 90.00 90.00 120.00
Space group R-3m (No. 166, hexagonal axes)
Inequivalent atoms, fractional coordinates:
1 Ba 0.0000 0.0000 0.0908 [6 per cell]
2 Ba 0.0000 0.0000 0.3706 [6 per cell]
3 Sr 0.0000 0.0000 0.1915 [6 per cell]
4 I 0.0000 0.0000 0.0000 [3 per cell]

Values from the calculation:
- ΔE_f (raw) (eV/atom) = -0.34
- theoretical density (g cm⁻³) = 3.5
- N(E_F) (states/eV per atom) = 1.37

=====

[11]
Density functional theory data (PBE-GGA) for crystalline BaSr2I6 at its relaxed geometry.

a b c (Å): 7.664 28.268 8.481
angles (deg): 90.00 90.00 90.00
Space group Pbcn (No. 60)
Inequivalent atoms, fractional coordinates:
1 Ba 0.000 0.116 0.250 [4 per cell]
2 Sr 0.000 0.217 0.750 [4 per cell]
3 Sr 0.000 0.450 0.250 [4 per cell]
4 I 0.237 0.468 0.569 [8 per cell]
5 I 0.245 0.205 0.071 [8 per cell]
6 I 0.246 0.132 0.590 [8 per cell]

Values from the calculation:
- ΔE_f (raw) (eV/atom) = -1.71
- ΔE to the lowest computed polymorph (meV/atom) = 16.6
- theoretical density (g cm⁻³) = 3.9
- N(E_F) (states/eV per atom) = 0.00

=====

[12]
Density functional theory data (PBE-GGA) for crystalline Ba2Sr2I at its relaxed geometry.

a b c (Å): 9.235 9.235 7.076
angles (deg): 90.00 90.00 90.00
Space group P4/mbm (No. 127)
Inequivalent atoms, fractional coordinates:
1 Ba 0.159 0.341 0.000 [4 per cell]
2 Sr 0.155 0.655 0.500 [4 per cell]
3 I 0.000 0.000 0.000 [2 per cell]

Values from the calculation:
- ΔE_f (raw) (eV/atom) = -0.33
- ΔE to the lowest computed polymorph (meV/atom) = 0.0
- theoretical density (g cm⁻³) = 3.2
- N(E_F) (states/eV per atom) = 1.12

=====

[13]
Density functional theory data (PBE-GGA) for crystalline Ba3SrI at its relaxed geometry.

a b c (Å): 6.766 6.766 6.766
angles (deg): 90.00 90.00 90.00
Space group Pm-3m (No. 221)
Inequivalent atoms, fractional coordinates:
1 Ba 0.000 0.000 0.500 [3 per cell]
2 Sr 0.500 0.500 0.500 [1 per cell]
3 I 0.000 0.000 0.000 [1 per cell]

Values from the calculation:
- ΔE_f (raw) (eV/atom) = -0.36
- ΔE to the lowest computed polymorph (meV/atom) = 0.0
- theoretical density (g cm⁻³) = 3.4
- N(E_F) (states/eV per atom) = 1.88

=====

[14]
Density functional theory data (PBE-GGA) for crystalline BaSr2I6 at its relaxed geometry.

a b c (Å): 7.614 8.371 15.864
angles (deg): 90.00 115.29 90.00
Space group P2_1/c (No. 14)
Inequivalent atoms, fractional coordinates:
1 Ba 0.000 0.000 0.000 [2 per cell]
2 Sr 0.331 0.096 0.753 [4 per cell]
3 I 0.050 0.076 0.226 [4 per cell]
4 I 0.308 0.680 0.099 [4 per cell]
5 I 0.437 0.196 0.099 [4 per cell]

Values from the calculation:
- ΔE_f (raw) (eV/atom) = -1.67
- ΔE to the lowest computed polymorph (meV/atom) = 48.3
- theoretical density (g cm⁻³) = 3.9
- N(E_F) (states/eV per atom) = 0.00

=====

[15]
Density functional theory data (PBE-GGA) for crystalline Ba4SrI10 at its relaxed geometry.

a b c (Å): 5.8833 5.8833 71.8510
angles (deg): 90.00 90.00 120.00
Space group R-3m (No. 166, hexagonal axes)
Inequivalent atoms, fractional coordinates:
1 Ba 0.0000 0.0000 0.1017 [6 per cell]
2 Ba 0.0000 0.0000 0.2995 [6 per cell]
3 Sr 0.0000 0.0000 0.5000 [3 per cell]
4 I 0.0000 0.0000 0.0510 [6 per cell]
5 I 0.0000 0.0000 0.1520 [6 per cell]
6 I 0.0000 0.0000 0.2487 [6 per cell]
7 I 0.0000 0.0000 0.3501 [6 per cell]
8 I 0.0000 0.0000 0.4523 [6 per cell]

Values from the calculation:
- ΔE_f (raw) (eV/atom) = -1.76
- theoretical density (g cm⁻³) = 4.4
- N(E_F) (states/eV per atom) = 0.00

=====

[16]
Density functional theory data (PBE-GGA) for crystalline BaSr2I6 at its relaxed geometry.

a b c (Å): 20.647 4.967 9.480
angles (deg): 90.00 98.55 90.00
Space group C2/m (No. 12)
Inequivalent atoms, fractional coordinates:
1 Ba 0.000 0.000 0.000 [2 per cell]
2 Sr 0.169 0.500 0.338 [4 per cell]
3 I 0.007 0.500 0.257 [4 per cell]
4 I 0.169 0.000 0.574 [4 per cell]
5 I 0.170 0.000 0.104 [4 per cell]

Values from the calculation:
- ΔE_f (raw) (eV/atom) = -1.72
- ΔE to the lowest computed polymorph (meV/atom) = 0.0
- theoretical density (g cm⁻³) = 3.7
- N(E_F) (states/eV per atom) = 0.00

=====

[17]
Density functional theory data (PBE-GGA) for crystalline BaSr2I6 at its relaxed geometry.

a b c (Å): 8.4132 8.4132 7.5133
angles (deg): 90.00 90.00 120.00
Space group P-31m (No. 162)
Inequivalent atoms, fractional coordinates:
1 Ba 0.0000 0.0000 0.0000 [1 per cell]
2 Sr 0.3333 0.6667 0.5000 [2 per cell]
3 I 0.0000 0.3491 0.2542 [6 per cell]

Values from the calculation:
- ΔE_f (raw) (eV/atom) = -1.71
- ΔE to the lowest computed polymorph (meV/atom) = 14.0
- theoretical density (g cm⁻³) = 3.9
- N(E_F) (states/eV per atom) = 0.00